1.
{
  "formula": "PaB6",
  "functional": "PBE",
  "state": "relaxed",
  "delta_e_f_ev_per_atom": -0.347,
  "cell": [[-2.487, 2.487, 2.487], [2.487, -2.487, 2.487], [2.487, 2.487, -2.487]],
  "species": ["Pa", "B", "B", "B", "B", "B", "B"],
  "fractional_positions": [[0.000, 0.000, 0.000], [0.250, 0.500, 0.750], [0.250, 0.750, 0.500], [0.500, 0.250, 0.750], [0.500, 0.750, 0.250], [0.750, 0.250, 0.500], [0.750, 0.500, 0.250]]
}



2.
{
  "formula": "RuSeBr2Cl",
  "functional": "PBE",
  "state": "relaxed",
  "raw_formation_energy_ev_per_atom": 1.2917,
  "polymorph_energy_ev_per_fu": 5.09,
  "cell": [[5.130, 0.000, 0.000], [0.000, 5.130, 0.000], [0.000, 0.000, 5.263]],
  "species": ["Ru", "Se", "Br", "Br", "Cl"],
  "fractional_positions": [[0.000, 0.000, 0.000], [0.500, 0.500, 0.000], [0.000, 0.500, 0.500], [0.500, 0.000, 0.500], [0.500, 0.500, 0.500]]
}



3.
{
  "formula": "CdRhI2",
  "functional": "PBE",
  "state": "relaxed",
  "raw_formation_energy_ev_per_atom": 0.4962,
  "polymorph_energy_ev_per_fu": 1.35,
  "cell": [[0.000, 3.715, 3.715], [3.715, 0.000, 3.715], [3.715, 3.715, 0.000]],
  "species": ["Cd", "Rh", "I", "I"],
  "fractional_positions": [[0.000, 0.000, 0.000], [0.500, 0.500, 0.500], [0.250, 0.250, 0.250], [0.750, 0.750, 0.750]]
}



4.
{
  "formula": "BeCrRh2",
  "functional": "PBE",
  "state": "relaxed",
  "delta_e_f_ev_per_atom": -0.249,
  "cell": [[4.123, 0.000, 0.000], [0.000, 4.123, 0.000], [0.000, 0.000, 2.920]],
  "species": ["Be", "Cr", "Rh", "Rh"],
  "fractional_positions": [[0.000, 0.000, 0.000], [0.500, 0.500, 0.000], [0.000, 0.500, 0.500], [0.500, 0.000, 0.500]]
}



5.
{
  "formula": "YAlZn2Pd",
  "functional": "PBE",
  "state": "relaxed",
  "delta_e_f_ev_per_atom": -0.096,
  "cell": [[4.668, 0.000, 0.000], [0.000, 4.668, 0.000], [0.000, 0.000, 4.703]],
  "species": ["Y", "Al", "Zn", "Zn", "Pd"],
  "fractional_positions": [[0.000, 0.000, 0.000], [0.500, 0.500, 0.500], [0.000, 0.500, 0.500], [0.500, 0.000, 0.500], [0.500, 0.500, 0.000]]
}



6.
{
  "formula": "La4Tm5",
  "functional": "PBE",
  "state": "relaxed",
  "delta_e_f_ev_per_atom": 0.035,
  "polymorph_energy_ev_per_fu": 0.00,
  "cell": [[-5.398, 5.398, 2.550], [5.398, -5.398, 2.550], [5.398, 5.398, -2.550]],
  "species": ["La", "La", "La", "La", "Tm", "Tm", "Tm", "Tm", "Tm"],
  "fractional_positions": [[0.167, 0.167, 0.334], [0.167, 0.833, 0.000], [0.833, 0.167, 0.000], [0.833, 0.833, 0.666], [0.163, 0.500, 0.663], [0.500, 0.163, 0.663], [0.500, 0.500, 0.000], [0.500, 0.837, 0.337], [0.837, 0.500, 0.337]]
}



7.
{
  "formula": "CrFeS2",
  "functional": "PBE",
  "state": "relaxed",
  "raw_formation_energy_ev_per_atom": 0.0364,
  "polymorph_energy_ev_per_fu": 1.78,
  "cell": [[0.000, 2.841, 2.841], [2.841, 0.000, 2.841], [2.841, 2.841, 0.000]],
  "species": ["Cr", "Fe", "S", "S"],
  "fractional_positions": [[0.000, 0.000, 0.000], [0.500, 0.500, 0.500], [0.250, 0.250, 0.250], [0.750, 0.750, 0.750]]
}



8.
{
  "formula": "GaNiHgC",
  "functional": "PBE",
  "state": "relaxed",
  "delta_e_f_ev_per_atom": 0.519,
  "polymorph_energy_ev_per_fu": 0.25,
  "cell": [[2.945, 0.000, 0.000], [1.468, 3.232, 0.000], [1.390, -0.066, 6.624]],
  "species": ["Ga", "Ni", "Hg", "C"],
  "fractional_positions": [[0.000, 0.000, 0.000], [0.623, 0.476, 0.293], [0.162, 0.105, 0.594], [0.238, 0.420, 0.111]]
}



9.
{
  "formula": "Ti4ZnRe",
  "functional": "PBE",
  "state": "relaxed",
  "delta_e_f_ev_per_atom": 0.247,
  "polymorph_energy_ev_per_fu": 2.84,
  "cell": [[3.809, -2.197, 0.000], [3.809, 2.197, 0.000], [-2.531, 0.000, 6.735]],
  "species": ["Ti", "Ti", "Ti", "Ti", "Zn", "Re"],
  "fractional_positions": [[0.123, 0.123, 0.368], [0.369, 0.369, 0.107], [0.631, 0.631, 0.893], [0.877, 0.877, 0.632], [0.500, 0.500, 0.500], [0.000, 0.000, 0.000]]
}



10.
{
  "formula": "Ca5Br3",
  "functional": "PBE",
  "state": "relaxed",
  "raw_formation_energy_ev_per_atom": -0.8529,
  "cell": [[5.236, -6.845, 0.000], [5.236, 6.845, 0.000], [0.000, 0.000, 3.955]],
  "species": ["Ca", "Ca", "Ca", "Ca", "Ca", "Br", "Br", "Br"],
  "fractional_positions": [[0.000, 0.000, 0.000], [0.000, 0.500, 0.000], [0.299, 0.299, 0.500], [0.500, 0.000, 0.000], [0.701, 0.701, 0.500], [0.266, 0.734, 0.500], [0.500, 0.500, 0.000], [0.734, 0.266, 0.500]]
}



11.
{
  "formula": "Be3Fe5",
  "functional": "PBE",
  "state": "relaxed",
  "delta_e_f_ev_per_atom": -0.135,
  "polymorph_energy_ev_per_fu": 0.00,
  "cell": [[-4.254, 4.254, 2.159], [4.254, -4.254, 2.159], [4.254, 4.254, -2.159]],
  "species": ["Be", "Be", "Be", "Be", "Be", "Be", "Fe", "Fe", "Fe", "Fe", "Fe", "Fe", "Fe", "Fe", "Fe", "Fe"],
  "fractional_positions": [[0.169, 0.669, 0.838], [0.250, 0.250, 0.000], [0.331, 0.169, 0.500], [0.669, 0.831, 0.500], [0.750, 0.750, 0.000], [0.831, 0.331, 0.162], [0.073, 0.222, 0.296], [0.222, 0.927, 0.149], [0.250, 0.750, 0.500], [0.278, 0.427, 0.704], [0.427, 0.722, 0.149], [0.573, 0.278, 0.851], [0.722, 0.573, 0.296], [0.750, 0.250, 0.500], [0.778, 0.073, 0.851], [0.927, 0.778, 0.704]]
}



12.
{
  "formula": "NiSbOsI2",
  "functional": "PBE",
  "state": "relaxed",
  "raw_formation_energy_ev_per_atom": 1.4598,
  "polymorph_energy_ev_per_fu": 1.24,
  "cell": [[5.033, 0.000, 0.000], [0.000, 5.033, 0.000], [0.000, 0.000, 4.851]],
  "species": ["Ni", "Sb", "Os", "I", "I"],
  "fractional_positions": [[0.000, 0.000, 0.000], [0.000, 0.000, 0.500], [0.500, 0.500, 0.500], [0.000, 0.500, 0.000], [0.500, 0.000, 0.000]]
}



13.
{
  "formula": "In2SeF",
  "functional": "PBE",
  "state": "relaxed",
  "raw_formation_energy_ev_per_atom": -0.8977,
  "polymorph_energy_ev_per_fu": 0.00,
  "cell": [[-2.581, 2.581, 7.689], [2.581, -2.581, 7.689], [2.581, 2.581, -7.689]],
  "species": ["In", "In", "In", "In", "Se", "Se", "F", "F"],
  "fractional_positions": [[0.045, 0.625, 0.920], [0.375, 0.295, 0.420], [0.705, 0.125, 0.080], [0.875, 0.955, 0.580], [0.250, 0.750, 0.500], [0.500, 0.500, 0.000], [0.000, 0.000, 0.000], [0.750, 0.250, 0.500]]
}



14.
{
  "formula": "PuB2Pd7",
  "functional": "PBE",
  "state": "relaxed",
  "delta_e_f_ev_per_atom": -0.148,
  "cell": [[3.503, -5.685, 0.000], [3.503, 5.685, 0.000], [0.000, 0.000, 4.123]],
  "species": ["Pu", "B", "B", "Pd", "Pd", "Pd", "Pd", "Pd", "Pd", "Pd"],
  "fractional_positions": [[0.000, 0.000, 0.000], [0.311, 0.689, 0.500], [0.689, 0.311, 0.500], [0.055, 0.333, 0.500], [0.273, 0.727, 0.000], [0.333, 0.055, 0.500], [0.500, 0.500, 0.500], [0.667, 0.945, 0.500], [0.727, 0.273, 0.000], [0.945, 0.667, 0.500]]
}



15.
{
  "formula": "Na2HfTaTc",
  "functional": "PBE",
  "state": "relaxed",
  "delta_e_f_ev_per_atom": 1.789,
  "cell": [[5.194, 0.000, 0.000], [0.000, 5.194, 0.000], [0.000, 0.000, 4.596]],
  "species": ["Na", "Na", "Hf", "Ta", "Tc"],
  "fractional_positions": [[0.000, 0.500, 0.000], [0.500, 0.000, 0.000], [0.000, 0.000, 0.500], [0.500, 0.500, 0.000], [0.500, 0.500, 0.500]]
}



16.
{
  "formula": "Hf2CrPW",
  "functional": "PBE",
  "state": "relaxed",
  "delta_e_f_ev_per_atom": 1.235,
  "cell": [[5.112, 0.000, 0.000], [0.000, 5.112, 0.000], [0.000, 0.000, 4.307]],
  "species": ["Hf", "Hf", "Cr", "P", "W"],
  "fractional_positions": [[0.000, 0.500, 0.000], [0.500, 0.000, 0.000], [0.000, 0.000, 0.500], [0.500, 0.500, 0.500], [0.000, 0.000, 0.000]]
}



17.
{
  "formula": "TbSmPu2Se4",
  "functional": "PBE",
  "state": "relaxed",
  "raw_formation_energy_ev_per_atom": -1.6788,
  "cell": [[7.122, 0.000, 0.000], [0.000, 4.133, 0.000], [-2.413, 0.000, 6.815]],
  "species": ["Tb", "Sm", "Pu", "Pu", "Se", "Se", "Se", "Se"],
  "fractional_positions": [[0.000, 0.000, 0.000], [0.000, 0.500, 0.500], [0.500, 0.000, 0.500], [0.500, 0.500, 0.000], [0.248, 0.500, 0.247], [0.251, 0.000, 0.754], [0.749, 0.000, 0.246], [0.752, 0.500, 0.753]]
}



18.
{
  "formula": "CaMoCl6",
  "functional": "PBE",
  "state": "relaxed",
  "raw_formation_energy_ev_per_atom": -1.3677,
  "cell": [[3.246, 1.874, 5.871], [-3.246, 1.874, 5.871], [0.000, -3.748, 5.871]],
  "species": ["Ca", "Mo", "Cl", "Cl", "Cl", "Cl", "Cl", "Cl"],
  "fractional_positions": [[0.000, 0.000, 0.000], [0.500, 0.500, 0.500], [0.115, 0.721, 0.429], [0.279, 0.571, 0.885], [0.429, 0.115, 0.721], [0.571, 0.885, 0.279], [0.721, 0.429, 0.115], [0.885, 0.279, 0.571]]
}



19.
{
  "formula": "Zr2IrW",
  "functional": "PBE",
  "state": "relaxed",
  "delta_e_f_ev_per_atom": -0.119,
  "cell": [[-1.684, 2.427, 4.472], [1.684, -2.427, 4.472], [1.684, 2.427, -4.472]],
  "species": ["Zr", "Zr", "Ir", "W"],
  "fractional_positions": [[0.247, 0.247, 0.000], [0.753, 0.753, 0.000], [0.000, 0.500, 0.500], [0.500, 0.000, 0.500]]
}



20.
{
  "formula": "ZnSnS3",
  "functional": "PBE",
  "state": "relaxed",
  "raw_formation_energy_ev_per_atom": -0.3846,
  "polymorph_energy_ev_per_fu": 0.00,
  "cell": [[3.214, 1.856, 5.791], [-3.214, 1.856, 5.791], [0.000, -3.711, 5.791]],
  "species": ["Zn", "Zn", "Sn", "Sn", "S", "S", "S", "S", "S", "S"],
  "fractional_positions": [[0.000, 0.000, 0.000], [0.500, 0.500, 0.500], [0.209, 0.209, 0.209], [0.709, 0.709, 0.709], [0.115, 0.397, 0.796], [0.296, 0.897, 0.615], [0.397, 0.796, 0.115], [0.615, 0.296, 0.897], [0.796, 0.115, 0.397], [0.897, 0.615, 0.296]]
}



Size of the total moment (μB per formula unit)
0.00 3.94 1.31 2.30 0.00 0.00 0.00 0.00 0.43 0.00 9.28 0.00 0.00 5.02 0.00 0.00 0.05 2.00 0.00 0.00
V (A^3/atom)
8.79 27.71 25.63 12.41 20.50 33.02 11.47 15.76 18.79 35.44 9.77 24.57 25.61 16.42 24.80 22.51 25.07 26.78 18.28 20.72